[1]
This record from Alexandria describes a relaxed structure of MnCu2P. The functional is PBE.

Properties
V ... 49.70 Å³ per cell
Formation enthalpy at 0 K ... -0.03 eV per atom
Spin magnetization ... 3.425 μB/f.u.

Cell: 3.5425 3.5425 3.9604 Å, 90.00 90.00 90.00°
Atoms (fractional coordinates):
Mn 0.0000 0.0000 0.0000
Cu 0.0000 0.5000 0.5000
Cu 0.5000 0.0000 0.5000
P 0.5000 0.5000 0.0000



[2]
This record from Alexandria describes a relaxed structure of TcSeS2Cl. The functional is PBE.

Properties
Excess energy over the best structure of this formula in the dataset ... 0 meV per atom
V ... 100.90 Å³ per cell
Spin magnetization ... 0.000 μB/f.u.
Energy relative to the elements, uncorrected ... 326 meV/atom

Cell: 4.6060 4.6060 4.7560 Å, 90.00 90.00 90.00°
Atoms (fractional coordinates):
Tc 0.0000 0.0000 0.0000
Se 0.5000 0.5000 0.5000
S 0.0000 0.5000 0.0000
S 0.5000 0.0000 0.0000
Cl 0.0000 0.0000 0.5000



[3]
This record from Alexandria describes a relaxed structure of SrHg3I. The functional is PBE.

Properties
Excess energy over the best structure of this formula in the dataset ... 0 meV per atom
V ... 264.68 Å³ per cell
Spin magnetization ... 0.000 μB/f.u.
Energy relative to the elements, uncorrected ... -114 meV/atom

Cell: 6.4205 6.4205 6.4205 Å, 90.00 90.00 90.00°
Atoms (fractional coordinates):
Sr 0.0000 0.0000 0.0000
Hg 0.0000 0.0000 0.5000
Hg 0.0000 0.5000 0.0000
Hg 0.5000 0.0000 0.0000
I 0.5000 0.5000 0.5000



Q: What is the spin magnetization in the second record?
A: 0.000 μB/f.u.